Here is YSc2GaO after structural relaxation from the Alexandria database. Energies are from GGA-PBE.

Cell lengths 4.3990, 4.3990, 4.6913 Å; angles 90.00, 90.00, 90.00 degrees
Fractional positions:
1 O 0.0000 0.0000 0.0000
2 Sc 0.5000 0.0000 0.0000
3 Sc 0.0000 0.5000 0.0000
4 Ga 0.5000 0.5000 0.5000
5 Y 0.0000 0.0000 0.5000

As for the formation energy without anion corrections: -141.58 kJ per mole of atoms. The calculation puts the total moment at 0.00 μB/f.u. The calculation puts the volume at 18.2 Å³/atom.


Here is Dy4Y4Th after structural relaxation from the Alexandria database. Energies are from GGA-PBE.

Cell lengths 5.0517, 7.9618, 7.9618 Å; angles 84.22, 71.50, 71.50 degrees
Fractional positions:
1 Y 0.6645 0.6711 0.9999
2 Y 0.3356 0.9999 0.3289
3 Y 0.6644 0.0001 0.6711
4 Y 0.3355 0.3289 0.0001
5 Dy 0.3325 0.6674 0.6675
6 Dy 0.0001 0.3325 0.6674
7 Dy 0.6675 0.3326 0.3325
8 Dy 0.9999 0.6675 0.3326
9 Th 0.0000 0.0000 0.0000

The calculation puts the total moment at 0.00 μB/f.u. Its formation energy from the elements is 32 meV per atom. The calculation puts the volume at 32.0 Å³/atom.


Here is Tb2TmRh after structural relaxation from the Alexandria database. Energies are from GGA-PBE.

Cell lengths 6.2473, 7.1462, 9.5315 Å; angles 90.00, 90.00, 90.00 degrees
Fractional positions:
1 Tb 0.3280 0.1791 0.4365
2 Tb 0.8280 0.3209 0.5635
3 Tb 0.1720 0.6791 0.0635
4 Tb 0.8280 0.3209 0.9365
5 Tb 0.6720 0.8209 0.9365
6 Tb 0.3280 0.1791 0.0635
7 Tb 0.6720 0.8209 0.5635
8 Tb 0.1720 0.6791 0.4365
9 Rh 0.5519 0.1178 0.7500
10 Rh 0.4481 0.8822 0.2500
11 Rh 0.0519 0.3822 0.2500
12 Rh 0.9481 0.6178 0.7500
13 Tm 0.3599 0.4638 0.7500
14 Tm 0.8599 0.0362 0.2500
15 Tm 0.1401 0.9638 0.7500
16 Tm 0.6401 0.5362 0.2500

The calculation puts the total moment at 0.00 μB/f.u. Its formation energy from the elements is -529 meV per atom. The calculation puts the volume at 26.6 Å³/atom.


Here is Ta2NbIn after structural relaxation from the Alexandria database. Energies are from GGA-PBE.

Cell lengths 3.6862, 4.5152, 4.5152 Å; angles 90.00, 90.00, 90.00 degrees
Fractional positions:
1 In 0.5000 0.5000 0.5000
2 Ta 0.0000 0.5000 0.0000
3 Ta 0.0000 0.0000 0.5000
4 Nb 0.5000 0.0000 0.0000

The calculation puts the total moment at 0.00 μB/f.u. Its formation energy from the elements is 76 meV per atom. The calculation puts the volume at 18.8 Å³/atom.


Number 3 is which compound?
Tb2TmRh


Among the records above, which one has the lowest volume?
YSc2GaO


Repeat the first record exactly.
Here is YSc2GaO after structural relaxation from the Alexandria database. Energies are from GGA-PBE.

Cell lengths 4.3990, 4.3990, 4.6913 Å; angles 90.00, 90.00, 90.00 degrees
Fractional positions:
1 O 0.0000 0.0000 0.0000
2 Sc 0.5000 0.0000 0.0000
3 Sc 0.0000 0.5000 0.0000
4 Ga 0.5000 0.5000 0.5000
5 Y 0.0000 0.0000 0.5000

As for the formation energy without anion corrections: -141.58 kJ per mole of atoms. The calculation puts the total moment at 0.00 μB/f.u. The calculation puts the volume at 18.2 Å³/atom.


Among the records above, which one has the highest volume?
Dy4Y4Th